Entry from the Alexandria database: a geometry-optimized Ba5Sr4Tl4 structure (PBE).

Values from the calculation:
Volume = 1213.25 Å³/cell
ΔE_f = -0.2628 eV/atom
DOS at the Fermi energy = 26.112 states/eV/cell
Spin magnetization = 0.00 Bohr magnetons per cell

```
data_Ba5Sr4Tl4
_space_group_name_H-M_alt 'I 4/m'
_space_group_IT_number 87
_space_group_name_Hall '-I 4'
_cell_length_a 16.2236
_cell_length_b 16.2236
_cell_length_c 4.6095
_cell_angle_alpha 90.00
_cell_angle_beta 90.00
_cell_angle_gamma 90.00
loop_
_atom_site_label
_atom_site_type_symbol
_atom_site_fract_x
_atom_site_fract_y
_atom_site_fract_z
Ba1 Ba 0.0000 0.0000 0.0000
Ba2 Ba 0.1356 0.1843 0.5000
Sr1 Sr 0.0945 0.6172 0.5000
Tl1 Tl 0.0369 0.7654 0.0000
```

Entry from the Alexandria database: a geometry-optimized KCrAs2 structure (PBE).

Values from the calculation:
Volume = 223.74 Å³/cell
ΔE_f = -0.0076 eV/atom
DOS at the Fermi energy = 2.563 states/eV/cell
Energy above the lowest structure with this stoichiometry = 177 meV per atom
Spin magnetization = 6.76 Bohr magnetons per cell

```
data_KCrAs2
_space_group_name_H-M_alt 'I m m m'
_space_group_IT_number 71
_space_group_name_Hall '-I 2 2'
_cell_length_a 4.3860
_cell_length_b 6.7209
_cell_length_c 7.5901
_cell_angle_alpha 90.00
_cell_angle_beta 90.00
_cell_angle_gamma 90.00
loop_
_atom_site_label
_atom_site_type_symbol
_atom_site_fract_x
_atom_site_fract_y
_atom_site_fract_z
K1 K 0.0000 0.0000 0.0000
Cr1 Cr 0.0000 0.0000 0.5000
As1 As 0.0000 0.5000 0.1619
```

Entry from the Alexandria database: a geometry-optimized Y2HgSe structure (PBE).

Values from the calculation:
Volume = 106.54 Å³/cell
DOS at the Fermi energy = 2.803 states/eV/cell
ΔE_f (raw) = -1.0536 eV/atom
Energy above the lowest structure with this stoichiometry = 69 meV per atom
Spin magnetization = 0.00 Bohr magnetons per cell

```
data_Y2HgSe
_space_group_name_H-M_alt 'P 4/m m m'
_space_group_IT_number 123
_space_group_name_Hall '-P 4 2'
_cell_length_a 4.2007
_cell_length_b 4.2007
_cell_length_c 6.0376
_cell_angle_alpha 90.00
_cell_angle_beta 90.00
_cell_angle_gamma 90.00
loop_
_atom_site_label
_atom_site_type_symbol
_atom_site_fract_x
_atom_site_fract_y
_atom_site_fract_z
Y1 Y 0.0000 0.0000 0.0000
Y2 Y 0.5000 0.5000 0.5000
Hg1 Hg 0.0000 0.0000 0.5000
Se1 Se 0.5000 0.5000 0.0000
```

Entry from the Alexandria database: a geometry-optimized TmZn2Cd structure (PBE).

Values from the calculation:
Volume = 309.19 Å³/cell
ΔE_f = -0.2687 eV/atom
DOS at the Fermi energy = 10.787 states/eV/cell
Energy above the lowest structure with this stoichiometry = 10 meV per atom
Spin magnetization = 0.00 Bohr magnetons per cell

```
data_TmZn2Cd
_space_group_name_H-M_alt 'F m -3 m'
_space_group_IT_number 225
_space_group_name_Hall '-F 4 2 3'
_cell_length_a 6.7620
_cell_length_b 6.7620
_cell_length_c 6.7620
_cell_angle_alpha 90.00
_cell_angle_beta 90.00
_cell_angle_gamma 90.00
loop_
_atom_site_label
_atom_site_type_symbol
_atom_site_fract_x
_atom_site_fract_y
_atom_site_fract_z
Tm1 Tm 0.0000 0.0000 0.0000
Zn1 Zn 0.2500 0.2500 0.2500
Cd1 Cd 0.0000 0.0000 0.5000
```

Entry from the Alexandria database: a geometry-optimized MgVCl6 structure (PBE).

Values from the calculation:
Volume = 433.78 Å³/cell
DOS at the Fermi energy = 5.292 states/eV/cell
ΔE_f (raw) = -1.3199 eV/atom
Spin magnetization = 2.00 Bohr magnetons per cell

```
data_MgVCl6
_space_group_name_H-M_alt 'C 1 2/m 1'
_space_group_IT_number 12
_cell_length_a 6.1037
_cell_length_b 12.3822
_cell_length_c 6.0984
_cell_angle_alpha 90.00
_cell_angle_beta 109.75
_cell_angle_gamma 90.00
loop_
_space_group_symop_operation_xyz
'x,y,z'
'-x,-y,-z'
'-x,y,-z'
'x,-y,z'
'x+1/2,y+1/2,z'
'-x+1/2,-y+1/2,-z'
'-x+1/2,y+1/2,-z'
'x+1/2,-y+1/2,z'
loop_
_atom_site_label
_atom_site_type_symbol
_atom_site_fract_x
_atom_site_fract_y
_atom_site_fract_z
Mg1 Mg 0.0000 0.0000 0.0000
V1 V 0.0000 0.5000 0.5000
Cl1 Cl 0.2274 0.5000 0.2736
Cl2 Cl 0.2409 0.3670 0.7419
```

Entry from the Alexandria database: a geometry-optimized CeLuOs structure (PBE).

Values from the calculation:
Volume = 146.18 Å³/cell
ΔE_f = 0.8141 eV/atom
DOS at the Fermi energy = 9.836 states/eV/cell
Energy above the lowest structure with this stoichiometry = 988 meV per atom
Spin magnetization = 0.00 Bohr magnetons per cell

```
data_CeLuOs
_space_group_name_H-M_alt 'I 4 m m'
_space_group_IT_number 107
_space_group_name_Hall 'I 4 -2'
_cell_length_a 3.0281
_cell_length_b 3.0281
_cell_length_c 15.9419
_cell_angle_alpha 90.00
_cell_angle_beta 90.00
_cell_angle_gamma 90.00
loop_
_atom_site_label
_atom_site_type_symbol
_atom_site_fract_x
_atom_site_fract_y
_atom_site_fract_z
Ce1 Ce 0.0000 0.0000 0.0000
Lu1 Lu 0.0000 0.0000 0.6858
Os1 Os 0.0000 0.0000 0.8512
```

Entry from the Alexandria database: a geometry-optimized CrMo2Pb structure (PBE).

Values from the calculation:
Volume = 211.55 Å³/cell
ΔE_f = 0.6753 eV/atom
DOS at the Fermi energy = 15.404 states/eV/cell
Spin magnetization = 0.00 Bohr magnetons per cell

```
data_CrMo2Pb
_space_group_name_H-M_alt 'R -3 m'
_space_group_IT_number 166
_space_group_name_Hall '-R 3 2"'
_cell_length_a 3.0784
_cell_length_b 3.0784
_cell_length_c 25.7767
_cell_angle_alpha 90.00
_cell_angle_beta 90.00
_cell_angle_gamma 120.00
loop_
_atom_site_label
_atom_site_type_symbol
_atom_site_fract_x
_atom_site_fract_y
_atom_site_fract_z
Cr1 Cr 0.0000 0.0000 0.0000
Mo1 Mo 0.0000 0.0000 0.2653
Pb1 Pb 0.0000 0.0000 0.5000
```

Entry from the Alexandria database: a geometry-optimized RbCl3F structure (PBE).

Values from the calculation:
Volume = 120.18 Å³/cell
DOS at the Fermi energy = 3.036 states/eV/cell
ΔE_f (raw) = -0.5066 eV/atom
Energy above the lowest structure with this stoichiometry = 38 meV per atom
Spin magnetization = 0.00 Bohr magnetons per cell

```
data_RbCl3F
_space_group_name_H-M_alt 'P m -3 m'
_space_group_IT_number 221
_space_group_name_Hall '-P 4 2 3'
_cell_length_a 4.9348
_cell_length_b 4.9348
_cell_length_c 4.9348
_cell_angle_alpha 90.00
_cell_angle_beta 90.00
_cell_angle_gamma 90.00
loop_
_atom_site_label
_atom_site_type_symbol
_atom_site_fract_x
_atom_site_fract_y
_atom_site_fract_z
Rb1 Rb 0.0000 0.0000 0.0000
Cl1 Cl 0.0000 0.5000 0.5000
F1 F 0.5000 0.5000 0.5000
```

Entry from the Alexandria database: a geometry-optimized VMo3Pt structure (PBE).

Values from the calculation:
Volume = 87.87 Å³/cell
ΔE_f = 1.1436 eV/atom
DOS at the Fermi energy = 5.780 states/eV/cell
Energy above the lowest structure with this stoichiometry = 0 meV per atom
Spin magnetization = 0.00 Bohr magnetons per cell

```
data_VMo3Pt
_space_group_name_H-M_alt 'P m -3 m'
_space_group_IT_number 221
_space_group_name_Hall '-P 4 2 3'
_cell_length_a 4.4457
_cell_length_b 4.4457
_cell_length_c 4.4457
_cell_angle_alpha 90.00
_cell_angle_beta 90.00
_cell_angle_gamma 90.00
loop_
_atom_site_label
_atom_site_type_symbol
_atom_site_fract_x
_atom_site_fract_y
_atom_site_fract_z
V1 V 0.0000 0.0000 0.0000
Mo1 Mo 0.0000 0.0000 0.5000
Pt1 Pt 0.5000 0.5000 0.5000
```

Entry from the Alexandria database: a geometry-optimized KBe2Re structure (PBE).

Values from the calculation:
Volume = 151.06 Å³/cell
ΔE_f = 0.7625 eV/atom
DOS at the Fermi energy = 4.528 states/eV/cell
Energy above the lowest structure with this stoichiometry = 300 meV per atom
Spin magnetization = 0.00 Bohr magnetons per cell

```
data_KBe2Re
_space_group_name_H-M_alt 'C 1 m 1'
_space_group_IT_number 8
_cell_length_a 8.1395
_cell_length_b 2.5807
_cell_length_c 7.2279
_cell_angle_alpha 90.00
_cell_angle_beta 95.75
_cell_angle_gamma 90.00
loop_
_space_group_symop_operation_xyz
'x,y,z'
'x,-y,z'
'x+1/2,y+1/2,z'
'x+1/2,-y+1/2,z'
loop_
_atom_site_label
_atom_site_type_symbol
_atom_site_fract_x
_atom_site_fract_y
_atom_site_fract_z
K1 K 0.0000 0.0000 0.0000
Be1 Be 0.0188 0.5000 0.4918
Be2 Be 0.2318 0.0000 0.6377
Re1 Re 0.2829 0.5000 0.3830
```

Entry from the Alexandria database: a geometry-optimized Mg4Rh structure (PBE).

Values from the calculation:
Volume = 208.97 Å³/cell
ΔE_f = 0.2349 eV/atom
DOS at the Fermi energy = 4.538 states/eV/cell
Spin magnetization = 0.00 Bohr magnetons per cell

```
data_Mg4Rh
_space_group_name_H-M_alt 'I 4/m m m'
_space_group_IT_number 139
_space_group_name_Hall '-I 4 2'
_cell_length_a 3.6542
_cell_length_b 3.6542
_cell_length_c 15.6491
_cell_angle_alpha 90.00
_cell_angle_beta 90.00
_cell_angle_gamma 90.00
loop_
_atom_site_label
_atom_site_type_symbol
_atom_site_fract_x
_atom_site_fract_y
_atom_site_fract_z
Mg1 Mg 0.0000 0.0000 0.0857
Mg2 Mg 0.0000 0.5000 0.2500
Rh1 Rh 0.0000 0.0000 0.5000
```

Entry from the Alexandria database: a geometry-optimized KBa2Bi2 structure (PBE).

Values from the calculation:
Volume = 442.54 Å³/cell
ΔE_f = -0.7276 eV/atom
DOS at the Fermi energy = 3.096 states/eV/cell
Energy above the lowest structure with this stoichiometry = 0 meV per atom
Spin magnetization = 0.00 Bohr magnetons per cell

```
data_KBa2Bi2
_space_group_name_H-M_alt 'P 4/m b m'
_space_group_IT_number 127
_space_group_name_Hall '-P 4 2ab'
_cell_length_a 10.2650
_cell_length_b 10.2650
_cell_length_c 4.1999
_cell_angle_alpha 90.00
_cell_angle_beta 90.00
_cell_angle_gamma 90.00
loop_
_atom_site_label
_atom_site_type_symbol
_atom_site_fract_x
_atom_site_fract_y
_atom_site_fract_z
K1 K 0.0000 0.0000 0.0000
Ba1 Ba 0.1338 0.3662 0.5000
Bi1 Bi 0.1651 0.6651 0.0000
```

Which of these has the highest volume?
Ba5Sr4Tl4